1.
The following is a DFT calculation (GGA-PBE) of an optimized crystal structure of SmTm5Sc.

Cell lengths 8.014, 11.351, 5.951 Å; angles 90.00, 90.00, 90.00 degrees
Space group Imm2 (No. 44)
Asymmetric unit:
Sm  0.000  0.000  0.000 x2
Tm  0.000  0.000  0.476 x2
Tm  0.000  0.251  0.735 x4
Tm  0.176  0.500  0.239 x4
Sc  0.000  0.500  0.741 x2

Properties
Volume = 38.7 A^3/atom
Raw total energy = -52.7 eV per cell
Magnetic moment = 0.0 μB/cell


2.
The following is a DFT calculation (GGA-PBE) of an optimized crystal structure of Sm2Tm3Sc2.

Cell lengths 10.887, 4.921, 7.751 Å; angles 90.00, 98.37, 90.00 degrees
Space group C2/m (No. 12)
Asymmetric unit:
Sm  0.073  0.000  0.222 x4
Tm  0.000  0.500  0.500 x2
Tm  0.144  0.500  0.929 x4
Sc  0.215  0.000  0.641 x4

Properties
Volume = 29.3 A^3/atom
Raw total energy = -70.4 eV per cell
Magnetic moment = 0.0 μB/cell


3.
The following is a DFT calculation (GGA-PBE) of an optimized crystal structure of SmTm2Sc.

Cell lengths 3.5005, 3.5005, 33.4203 Å; angles 90.00, 90.00, 120.00 degrees
Space group R3m (No. 160, hexagonal axes)
Asymmetric unit:
Sm  0.0000  0.0000  0.0000 x3
Tm  0.0000  0.0000  0.2469 x3
Tm  0.0000  0.0000  0.4211 x3
Sc  0.0000  0.0000  0.8345 x3

Properties
Volume = 29.6 A^3/atom
Raw total energy = -59.5 eV per cell
Magnetic moment = 0.0 μB/cell


4.
The following is a DFT calculation (GGA-PBE) of an optimized crystal structure of Sm14TmSc.

Cell lengths 7.208, 7.208, 10.143 Å; angles 90.00, 90.00, 90.00 degrees
Space group P4/mmm (No. 123)
Asymmetric unit:
Sm  0.000  0.000  0.000 x1
Sm  0.000  0.500  0.000 x2
Sm  0.000  0.500  0.500 x2
Sm  0.248  0.248  0.254 x8
Sm  0.500  0.500  0.000 x1
Tm  0.500  0.500  0.500 x1
Sc  0.000  0.000  0.500 x1

Properties
Volume = 32.9 A^3/atom
Raw total energy = -76.5 eV per cell
Magnetic moment = 0.0 μB/cell


5.
The following is a DFT calculation (GGA-PBE) of an optimized crystal structure of Sm2Tm8Sc.

Cell lengths 16.978, 5.400, 8.306 Å; angles 90.00, 117.98, 90.00 degrees
Space group C2/m (No. 12)
Asymmetric unit:
Sm  0.203  0.000  0.159 x4
Tm  0.017  0.000  0.224 x4
Tm  0.111  0.500  0.932 x4
Tm  0.154  0.000  0.689 x4
Tm  0.162  0.500  0.389 x4
Sc  0.000  0.500  0.500 x2

Properties
Volume = 30.6 A^3/atom
Raw total energy = -100.5 eV per cell
Magnetic moment = 0.0 μB/cell


6.
The following is a DFT calculation (GGA-PBE) of an optimized crystal structure of Sm3TmSc.

Cell lengths 3.500, 8.319, 11.493 Å; angles 103.30, 98.75, 102.14 degrees
Space group P-1 (No. 2)
Asymmetric unit:
Sm  0.121  0.292  0.450 x2
Sm  0.123  0.696  0.050 x2
Sm  0.138  0.926  0.847 x2
Tm  0.386  0.510  0.761 x2
Sc  0.371  0.891  0.353 x2

Properties
Volume = 31.1 A^3/atom
Raw total energy = -49.2 eV per cell
Magnetic moment = 0.0 μB/cell


7.
The following is a DFT calculation (GGA-PBE) of an optimized crystal structure of SmTm3Sc.

Cell lengths 3.4841, 3.4841, 42.1749 Å; angles 90.00, 90.00, 120.00 degrees
Space group R3m (No. 160, hexagonal axes)
Asymmetric unit:
Sm  0.0000  0.0000  0.0000 x3
Tm  0.0000  0.0000  0.1970 x3
Tm  0.0000  0.0000  0.4030 x3
Tm  0.0000  0.0000  0.5978 x3
Sc  0.0000  0.0000  0.7999 x3

Properties
Volume = 29.6 A^3/atom
Raw total energy = -72.7 eV per cell
Magnetic moment = 0.0 μB/cell


8.
The following is a DFT calculation (GGA-PBE) of an optimized crystal structure of Sm2TmSc.

Cell lengths 4.998, 4.998, 4.849 Å; angles 90.00, 90.00, 90.00 degrees
Space group P4/mmm (No. 123)
Asymmetric unit:
Sm  0.000  0.500  0.000 x2
Tm  0.000  0.000  0.500 x1
Sc  0.500  0.500  0.500 x1

Properties
Volume = 30.3 A^3/atom
Raw total energy = -20.1 eV per cell
Magnetic moment = 0.0 μB/cell


9.
The following is a DFT calculation (GGA-PBE) of an optimized crystal structure of Sm2TmSc3.

Cell lengths 8.489, 16.923, 6.033 Å; angles 90.00, 128.60, 90.00 degrees
Space group C2/c (No. 15)
Asymmetric unit:
Sm  0.128  0.092  0.111 x8
Tm  0.250  0.250  0.500 x4
Sc  0.000  0.265  0.750 x4
Sc  0.121  0.418  0.134 x8

Properties
Volume = 28.2 A^3/atom
Raw total energy = -128.6 eV per cell
Magnetic moment = 0.0 μB/cell


10.
The following is a DFT calculation (GGA-PBE) of an optimized crystal structure of SmTm2Sc7.

Cell lengths 7.480, 17.039, 5.018 Å; angles 90.00, 90.00, 90.00 degrees
Space group Cmmm (No. 65)
Asymmetric unit:
Sm  0.000  0.000  0.000 x2
Tm  0.000  0.263  0.500 x4
Sc  0.000  0.407  0.000 x4
Sc  0.000  0.500  0.500 x2
Sc  0.197  0.097  0.500 x8

Properties
Volume = 32.0 A^3/atom
Raw total energy = -103.6 eV per cell
Magnetic moment = 0.0 μB/cell


11.
The following is a DFT calculation (GGA-PBE) of an optimized crystal structure of Sm3Tm2Sc2.

Cell lengths 17.027, 3.417, 8.285 Å; angles 90.00, 118.52, 90.00 degrees
Space group C2/m (No. 12)
Asymmetric unit:
Sm  0.000  0.000  0.000 x2
Sm  0.213  0.000  0.300 x4
Tm  0.139  0.000  0.812 x4
Sc  0.064  0.500  0.412 x4

Properties
Volume = 30.3 A^3/atom
Raw total energy = -69.7 eV per cell
Magnetic moment = 0.0 μB/cell


12.
The following is a DFT calculation (GGA-PBE) of an optimized crystal structure of SmTm4Sc2.

Cell lengths 6.871, 8.279, 8.486 Å; angles 114.27, 101.77, 101.99 degrees
Space group P1 (No. 1)
Asymmetric unit:
Sm  0.000  0.000  0.000 x1
Sm  0.086  0.767  0.579 x1
Tm  0.200  0.336  0.458 x1
Tm  0.303  0.885  0.293 x1
Tm  0.395  0.444  0.124 x1
Tm  0.500  0.999  0.990 x1
Tm  0.612  0.594  0.854 x1
Tm  0.698  0.332  0.455 x1
Tm  0.890  0.440  0.115 x1
Tm  0.972  0.175  0.713 x1
Sc  0.116  0.595  0.859 x1
Sc  0.478  0.177  0.720 x1
Sc  0.592  0.777  0.583 x1
Sc  0.792  0.882  0.287 x1

Properties
Volume = 29.1 A^3/atom
Raw total energy = -69.9 eV per cell
Magnetic moment = 0.0 μB/cell


Computed ΔE_f (eV per formula unit) in order:
7.1, 0.3, 0.2, 0.4, 1.3, 0.4, 0.2, 0.2, 0.8, 6.2, 0.9, 0.3